1.
First-principles (PBE) data for an optimized crystal structure of HfIrOs3, as listed in Alexandria.

Unit cell a=4.684 b=4.684 c=4.684 alpha=90.00 beta=90.00 gamma=90.00
Fractional positions:
Hf  0.000  0.000  0.000
Ir  0.500  0.500  0.500
Os  0.000  0.500  0.500
Os  0.500  0.000  0.500
Os  0.500  0.500  0.000

Output
**Magnetic moment**: 0.0 μB/f.u.
**Offset from the most stable computed form**: 0.000 eV/atom
**Formation energy from the elements**: 1.81 eV per atom
**Space-group type**: Pm-3m

2.
First-principles (PBE) data for an optimized crystal structure of HfIr2Os2, as listed in Alexandria.

Unit cell a=7.560 b=7.560 c=2.808 alpha=90.00 beta=90.00 gamma=90.00
Fractional positions:
Hf  0.000  0.000  0.000
Hf  0.500  0.500  0.000
Ir  0.177  0.323  0.500
Ir  0.323  0.823  0.500
Ir  0.677  0.177  0.500
Ir  0.823  0.677  0.500
Os  0.122  0.622  0.000
Os  0.378  0.122  0.000
Os  0.622  0.878  0.000
Os  0.878  0.378  0.000

Output
**Magnetic moment**: 0.0 μB/f.u.
**Formation energy from the elements**: -0.09 eV per atom
**Space-group type**: P4/mbm

3.
First-principles (PBE) data for an optimized crystal structure of Hf2IrOs, as listed in Alexandria.

Unit cell a=7.468 b=7.468 c=7.468 alpha=134.50 beta=134.50 gamma=66.31
Fractional positions:
Hf  0.122  0.625  0.997
Hf  0.375  0.372  0.497
Hf  0.628  0.125  0.003
Hf  0.875  0.878  0.503
Ir  0.250  0.750  0.500
Ir  0.500  0.500  0.000
Os  0.000  0.000  0.000
Os  0.750  0.250  0.500

Output
**Magnetic moment**: 0.0 μB/f.u.
**Formation energy from the elements**: 0.69 eV per atom
**Space-group type**: I-42d

4.
First-principles (PBE) data for an optimized crystal structure of HfIr3Os, as listed in Alexandria.

Unit cell a=4.736 b=4.736 c=4.736 alpha=90.00 beta=90.00 gamma=90.00
Fractional positions:
Hf  0.000  0.000  0.000
Ir  0.000  0.000  0.500
Ir  0.000  0.500  0.000
Ir  0.500  0.000  0.000
Os  0.500  0.500  0.500

Output
**Magnetic moment**: 3.4 μB/f.u.
**Offset from the most stable computed form**: 0.847 eV/atom
**Formation energy from the elements**: 2.15 eV per atom
**Space-group type**: Pm-3m

5.
First-principles (PBE) data for an optimized crystal structure of Hf4Ir3Os, as listed in Alexandria.

Unit cell a=7.622 b=7.622 c=7.622 alpha=145.69 beta=145.69 gamma=49.31
Fractional positions:
Hf  0.124  0.624  0.500
Hf  0.376  0.876  0.500
Hf  0.624  0.124  0.500
Hf  0.876  0.376  0.500
Ir  0.000  0.000  0.000
Ir  0.258  0.258  0.000
Ir  0.742  0.742  0.000
Os  0.500  0.500  0.000

Output
**Magnetic moment**: 0.0 μB/f.u.
**Formation energy from the elements**: -0.85 eV per atom
**Space-group type**: I4/mmm

6.
First-principles (PBE) data for an optimized crystal structure of HfIr2Os, as listed in Alexandria.

Unit cell a=3.986 b=3.986 c=3.929 alpha=90.00 beta=90.00 gamma=90.00
Fractional positions:
Hf  0.000  0.000  0.000
Ir  0.000  0.500  0.500
Ir  0.500  0.000  0.500
Os  0.500  0.500  0.000

Output
**Magnetic moment**: 0.0 μB/f.u.
**Offset from the most stable computed form**: 0.000 eV/atom
**Formation energy from the elements**: -0.56 eV per atom
**Space-group type**: P4/mmm